Entry 1:
Computed, not measured: a relaxed structure of PaCdNO at the PBE level of DFT.

Values from the calculation:
Space-group type   Pca2_1
Total moment   0.00 μB per formula unit
Final energy   -6.774 eV per atom

a b c (Å): 7.3311 7.7327 4.9586
angles (deg): 90.00 90.00 90.00
Fractional coordinates of all 16 atoms:
Pa 0.0771 0.1474 0.0000
Pa 0.4229 0.1474 0.5000
Pa 0.5771 0.8526 0.0000
Pa 0.9229 0.8526 0.5000
Cd 0.1642 0.6793 0.9930
Cd 0.3358 0.6793 0.4930
Cd 0.6642 0.3207 0.9930
Cd 0.8358 0.3207 0.4930
N 0.1008 0.0974 0.5015
N 0.3992 0.0974 0.0015
N 0.6008 0.9026 0.5015
N 0.8992 0.9026 0.0015
O 0.0939 0.4026 0.0275
O 0.4061 0.4026 0.5275
O 0.5939 0.5974 0.0275
O 0.9061 0.5974 0.5275

Entry 2:
Computed, not measured: a relaxed structure of TlW3N2 at the PBE level of DFT.

Values from the calculation:
Space-group type   P6_3/mmc
Total moment   0.00 μB per formula unit
Final energy   -9.171 eV per atom

a b c (Å): 3.2487 3.2487 17.9189
angles (deg): 90.00 90.00 120.00
Fractional coordinates of all 12 atoms:
Tl 0.0000 0.0000 0.2500
Tl 0.0000 0.0000 0.7500
W 0.0000 0.0000 0.0000
W 0.0000 0.0000 0.5000
W 0.3333 0.6667 0.1194
W 0.3333 0.6667 0.3806
W 0.6667 0.3333 0.6194
W 0.6667 0.3333 0.8806
N 0.3333 0.6667 0.5623
N 0.3333 0.6667 0.9377
N 0.6667 0.3333 0.0623
N 0.6667 0.3333 0.4377